(1)
A plane-wave DFT calculation with PBE was carried out for an optimized crystal structure of CaHoPd6.

**Electronic total energy**: -5.385 eV/atom
**Calculated formation energy**: -0.668 eV/atom
**Energy above the most stable polymorph in this dataset**: 0.0000 eV per atom
**Crystal system**: hexagonal

abc: 5.8901 5.8901 4.6923
angles: 90.00 90.00 120.00
Space group P-6m2 (No. 187)
Symmetry-distinct sites (fractional):
Ca: 0.0000 0.0000 0.0000 (multiplicity 1)
Ho: 0.3333 0.6667 0.5000 (multiplicity 1)
Pd: 0.3446 0.1723 0.5000 (multiplicity 3)
Pd: 0.5041 0.0082 0.0000 (multiplicity 3)



(2)
A plane-wave DFT calculation with PBE was carried out for an optimized crystal structure of LiRe2Mo.

**Electronic total energy**: -9.177 eV/atom
**Calculated formation energy**: 0.234 eV/atom
**Energy above the most stable polymorph in this dataset**: 0.0526 eV per atom
**Crystal system**: monoclinic

abc: 5.385 8.842 2.627
angles: 90.00 110.67 90.00
Space group C2/m (No. 12)
Symmetry-distinct sites (fractional):
Li: 0.000 0.000 0.000 (multiplicity 2)
Re: 0.250 0.250 0.500 (multiplicity 4)
Mo: 0.000 0.500 0.000 (multiplicity 2)



(3)
A plane-wave DFT calculation with PBE was carried out for an optimized crystal structure of KCaMn2Br8.

**E_form (uncorrected)**: -1.16 eV/atom
**Electronic total energy**: -4.058 eV/atom
**Crystal system**: trigonal

abc: 7.0261 7.0261 9.8606
angles: 90.00 90.00 120.00
Space group P-3 (No. 147)
Symmetry-distinct sites (fractional):
K: 0.0000 0.0000 0.0000 (multiplicity 1)
Ca: 0.0000 0.0000 0.5000 (multiplicity 1)
Mn: 0.3333 0.6667 0.7479 (multiplicity 2)
Br: 0.0020 0.6737 0.3179 (multiplicity 6)
Br: 0.3333 0.6667 0.9894 (multiplicity 2)



(4)
A plane-wave DFT calculation with PBE was carried out for an optimized crystal structure of La2Pm4Te3N2.

**E_form (uncorrected)**: -1.25 eV/atom
**Electronic total energy**: -6.248 eV/atom
**Crystal system**: tetragonal

abc: 4.756 4.756 26.422
angles: 90.00 90.00 90.00
Space group I4/mmm (No. 139)
Symmetry-distinct sites (fractional):
La: 0.000 0.000 0.193 (multiplicity 4)
Pm: 0.000 0.500 0.081 (multiplicity 8)
Te: 0.000 0.000 0.325 (multiplicity 4)
Te: 0.000 0.000 0.500 (multiplicity 2)
N: 0.000 0.000 0.106 (multiplicity 4)



(5)
A plane-wave DFT calculation with PBE was carried out for an optimized crystal structure of LaCr2Fe.

**Electronic total energy**: -7.797 eV/atom
**Calculated formation energy**: 0.362 eV/atom
**Energy above the most stable polymorph in this dataset**: 0.0000 eV per atom
**Crystal system**: trigonal

abc: 3.9860 3.9860 16.2177
angles: 90.00 90.00 120.00
Space group R3m (No. 160, hexagonal axes)
Symmetry-distinct sites (fractional):
La: 0.0000 0.0000 0.0000 (multiplicity 3)
Cr: 0.0000 0.0000 0.1966 (multiplicity 3)
Cr: 0.0000 0.0000 0.4921 (multiplicity 3)
Fe: 0.0000 0.0000 0.8123 (multiplicity 3)



(6)
A plane-wave DFT calculation with PBE was carried out for an optimized crystal structure of LaOs8.

**Electronic total energy**: -10.145 eV/atom
**Calculated formation energy**: 0.384 eV/atom
**Crystal system**: tetragonal

abc: 8.497 8.497 3.997
angles: 90.00 90.00 90.00
Space group I4/mmm (No. 139)
Symmetry-distinct sites (fractional):
La: 0.000 0.000 0.000 (multiplicity 2)
Os: 0.000 0.348 0.000 (multiplicity 8)
Os: 0.184 0.184 0.500 (multiplicity 8)



(7)
A plane-wave DFT calculation with PBE was carried out for an optimized crystal structure of CuIr2Se.

**E_form (uncorrected)**: 0.45 eV/atom
**Electronic total energy**: -5.877 eV/atom
**Crystal system**: orthorhombic

abc: 5.786 6.885 2.941
angles: 90.00 90.00 90.00
Space group Cmmm (No. 65)
Symmetry-distinct sites (fractional):
Cu: 0.000 0.000 0.000 (multiplicity 2)
Ir: 0.250 0.250 0.500 (multiplicity 4)
Se: 0.000 0.500 0.000 (multiplicity 2)



(8)
A plane-wave DFT calculation with PBE was carried out for an optimized crystal structure of TbErScHg.

**Electronic total energy**: -4.034 eV/atom
**Calculated formation energy**: -0.077 eV/atom
**Crystal system**: cubic

abc: 7.492 7.492 7.492
angles: 90.00 90.00 90.00
Space group F-43m (No. 216)
Symmetry-distinct sites (fractional):
Tb: 0.000 0.000 0.000 (multiplicity 4)
Er: 0.000 0.000 0.500 (multiplicity 4)
Sc: 0.250 0.250 0.750 (multiplicity 4)
Hg: 0.250 0.250 0.250 (multiplicity 4)



(9)
A plane-wave DFT calculation with PBE was carried out for an optimized crystal structure of Pm5IrPb4.

**Electronic total energy**: -5.156 eV/atom
**Calculated formation energy**: -0.412 eV/atom
**Crystal system**: tetragonal

abc: 9.940 9.940 6.388
angles: 90.00 90.00 90.00
Space group I4 (No. 79)
Symmetry-distinct sites (fractional):
Pm: 0.000 0.000 0.000 (multiplicity 2)
Pm: 0.096 0.263 0.433 (multiplicity 8)
Ir: 0.000 0.000 0.474 (multiplicity 2)
Pb: 0.080 0.313 0.932 (multiplicity 8)



(10)
A plane-wave DFT calculation with PBE was carried out for an optimized crystal structure of SrLaIO2.

**E_form (uncorrected)**: -1.19 eV/atom
**Electronic total energy**: -4.810 eV/atom
**Energy above the most stable polymorph in this dataset**: 1.6347 eV per atom
**Crystal system**: tetragonal

abc: 4.703 4.703 5.829
angles: 90.00 90.00 90.00
Space group P4/mmm (No. 123)
Symmetry-distinct sites (fractional):
Sr: 0.000 0.000 0.000 (multiplicity 1)
La: 0.500 0.500 0.500 (multiplicity 1)
I: 0.000 0.000 0.500 (multiplicity 1)
O: 0.000 0.500 0.000 (multiplicity 2)



(11)
A plane-wave DFT calculation with PBE was carried out for an optimized crystal structure of KReTc4.

**Electronic total energy**: -8.137 eV/atom
**Calculated formation energy**: 1.032 eV/atom
**Crystal system**: cubic

abc: 7.396 7.396 7.396
angles: 90.00 90.00 90.00
Space group F-43m (No. 216)
Symmetry-distinct sites (fractional):
K: 0.000 0.000 0.000 (multiplicity 4)
Re: 0.250 0.250 0.750 (multiplicity 4)
Tc: 0.125 0.125 0.375 (multiplicity 16)



(12)
A plane-wave DFT calculation with PBE was carried out for an optimized crystal structure of HfNbAl2.

**Electronic total energy**: -6.765 eV/atom
**Calculated formation energy**: 0.112 eV/atom
**Energy above the most stable polymorph in this dataset**: 0.4532 eV per atom
**Crystal system**: tetragonal

abc: 7.368 7.368 5.662
angles: 90.00 90.00 90.00
Space group I-42d (No. 122)
Symmetry-distinct sites (fractional):
Hf: 0.000 0.000 0.000 (multiplicity 4)
Nb: 0.000 0.000 0.500 (multiplicity 4)
Al: 0.239 0.750 0.625 (multiplicity 8)



(13)
A plane-wave DFT calculation with PBE was carried out for an optimized crystal structure of Dy6AgSb3.

**E_form (uncorrected)**: -0.57 eV/atom
**Electronic total energy**: -4.852 eV/atom
**Crystal system**: orthorhombic

abc: 11.297 15.021 7.142
angles: 90.00 90.00 90.00
Space group Cmc2_1 (No. 36)
Symmetry-distinct sites (fractional):
Dy: 0.000 0.019 0.000 (multiplicity 4)
Dy: 0.000 0.254 0.875 (multiplicity 4)
Dy: 0.183 0.449 0.854 (multiplicity 8)
Dy: 0.190 0.275 0.462 (multiplicity 8)
Ag: 0.000 0.167 0.267 (multiplicity 4)
Sb: 0.000 0.418 0.546 (multiplicity 4)
Sb: 0.173 0.103 0.706 (multiplicity 8)